# ScSnIr GGA-PBE optimized geometry
# DOS at the Fermi energy: 3.55 states/eV per cell
# Energy of formation: -46.9 kJ/mol of atoms
# Mass density: 10.380 Mg/m³
data_ScSnIr
_cell_length_a 3.547
_cell_length_b 3.547
_cell_length_c 9.048
_cell_angle_alpha 90.00
_cell_angle_beta 90.00
_cell_angle_gamma 90.00
_space_group_name_H-M_alt 'I 4 m m'
_space_group_IT_number 107
_space_group_name_Hall 'I 4 -2'
loop_
_atom_site_label
_atom_site_fract_x
_atom_site_fract_y
_atom_site_fract_z
Sc1 0.000 0.000 0.000
Sn1 0.000 0.000 0.315
Ir1 0.000 0.000 0.654



# La2OsBr GGA-PBE optimized geometry
# Formation energy (no corrections): -2.46 eV per formula unit
# Relative energy among the computed polymorphs: 190.5 meV per atom
# DOS at the Fermi energy: 5.58 states/eV per cell
# Mass density: 7.935 Mg/m³
data_La2OsBr
_cell_length_a 3.592
_cell_length_b 3.882
_cell_length_c 16.450
_cell_angle_alpha 90.00
_cell_angle_beta 90.00
_cell_angle_gamma 90.00
_space_group_name_H-M_alt 'I m m 2'
_space_group_IT_number 44
_space_group_name_Hall 'I 2 -2'
loop_
_atom_site_label
_atom_site_fract_x
_atom_site_fract_y
_atom_site_fract_z
La1 0.000 0.000 0.000
La2 0.000 0.500 0.293
Os1 0.000 0.500 0.880
Br1 0.000 0.000 0.625